VASP calculation (PBE-GGA) on a relaxed La6AgS2I3 crystal.

DFT total energy   -60.53 eV/f.u.
Fermi-level density of states   10.6 states/eV per cell
Energy relative to the elements, uncorrected   -1.27 eV per atom

Unit cell a=7.3386 b=7.3386 c=8.3662 alpha=98.30 beta=98.30 gamma=119.98
Closest atoms and distances in Å follow each position.
Positions (direct):
La: 0.0764 0.4318 0.7950  2 S 2.87-2.88, 1 Ag 3.08
La: 0.2120 0.2120 0.1995  2 S 2.87, 1 Ag 3.05
La: 0.4318 0.0764 0.7950  2 S 2.87-2.88, 1 Ag 3.08
La: 0.5682 0.9236 0.2050  2 S 2.87-2.88, 1 Ag 3.08
La: 0.7880 0.7880 0.8005  2 S 2.87, 1 Ag 3.05
La: 0.9236 0.5682 0.2050  2 S 2.87-2.88, 1 Ag 3.08
Ag: 0.5000 0.5000 0.0000  6 La 3.05-3.08
S: 0.1679 0.8321 0.0000  6 La 2.87-2.88
S: 0.8321 0.1679 0.0000  6 La 2.87-2.88
I: 0.0000 0.0000 0.5000  6 La 3.32-3.47
I: 0.3406 0.6594 0.5000  6 La 3.35-3.46
I: 0.6594 0.3406 0.5000  6 La 3.35-3.46